No. 1
# SrZn3Ir (GGA-PBE, relaxed)
# DFT formation energy = 0.171 eV per atom
# V = 38.42 A^3/atom
# Raw total energy = -2.702 eV per atom
# Density = 4.115 g cm⁻³
# Energy above the most stable polymorph in this dataset = 0.507 eV/atom
data_SrZn3Ir
_chemical_formula_sum 'Sr4 Zn12 Ir4'
_cell_length_a 7.450
_cell_length_b 22.413
_cell_length_c 4.601
_cell_angle_alpha 90.00
_cell_angle_beta 90.00
_cell_angle_gamma 90.00
_space_group_name_H-M_alt 'C m c m'
_space_group_IT_number 63
_space_group_name_Hall '-C 2c 2'
loop_
_atom_site_label
_atom_site_type_symbol
_atom_site_fract_x
_atom_site_fract_y
_atom_site_fract_z
Sr1 Sr 0.000 0.139 0.250
Zn1 Zn 0.000 0.000 0.000
Zn2 Zn 0.166 0.256 0.750
Ir1 Ir 0.000 0.266 0.250



No. 2
# SrZn3Ir (GGA-PBE, relaxed)
# DFT formation energy = 0.001 eV per atom
# V = 20.42 A^3/atom
# Raw total energy = -2.872 eV per atom
# Density = 7.742 g cm⁻³
# Energy above the most stable polymorph in this dataset = 0.337 eV/atom
data_SrZn3Ir
_chemical_formula_sum 'Sr1 Zn3 Ir1'
_cell_length_a 3.666
_cell_length_b 3.666
_cell_length_c 7.599
_cell_angle_alpha 90.00
_cell_angle_beta 90.00
_cell_angle_gamma 90.00
_space_group_name_H-M_alt 'P 4 m m'
_space_group_IT_number 99
_space_group_name_Hall 'P 4 -2'
loop_
_atom_site_label
_atom_site_type_symbol
_atom_site_fract_x
_atom_site_fract_y
_atom_site_fract_z
Sr1 Sr 0.000 0.000 0.000
Zn1 Zn 0.000 0.000 0.628
Zn2 Zn 0.000 0.500 0.376
Ir1 Ir 0.500 0.500 0.660



No. 3
# Sr2Zn5Ir (GGA-PBE, relaxed)
# DFT formation energy = -0.210 eV per atom
# V = 24.06 A^3/atom
# Raw total energy = -2.534 eV per atom
# Density = 5.991 g cm⁻³
data_Sr2Zn5Ir
_chemical_formula_sum 'Sr4 Zn10 Ir2'
_cell_length_a 5.924
_cell_length_b 5.924
_cell_length_c 10.970
_cell_angle_alpha 90.00
_cell_angle_beta 90.00
_cell_angle_gamma 90.00
_space_group_name_H-M_alt 'I 4 m m'
_space_group_IT_number 107
_space_group_name_Hall 'I 4 -2'
loop_
_atom_site_label
_atom_site_type_symbol
_atom_site_fract_x
_atom_site_fract_y
_atom_site_fract_z
Sr1 Sr 0.000 0.500 0.000
Zn1 Zn 0.000 0.000 0.111
Zn2 Zn 0.246 0.246 0.255
Ir1 Ir 0.000 0.000 0.876